[1]
# HoNbNi10 (PBE, optimized geometry)
# Crystal system: orthorhombic
# Formation energy in eV/atom: -0.18
data_HoNbNi10
_chemical_formula_sum 'Ho1 Nb1 Ni10'
_cell_length_a 3.968
_cell_length_b 4.754
_cell_length_c 8.241
_cell_angle_alpha 90.00
_cell_angle_beta 90.00
_cell_angle_gamma 90.00
_space_group_name_H-M_alt 'P m m m'
_space_group_IT_number 47
loop_
_space_group_symop_operation_xyz
'x,y,z'
'-x,-y,-z'
'-x,-y,z'
'x,y,-z'
'x,-y,-z'
'-x,y,z'
'-x,y,-z'
'x,-y,z'
loop_
_atom_site_label
_atom_site_fract_x
_atom_site_fract_y
_atom_site_fract_z
Ho1 0.000 0.000 0.000
Nb1 0.000 0.500 0.500
Ni1 0.000 0.000 0.342
Ni2 0.000 0.500 0.179
Ni3 0.500 0.000 0.500
Ni4 0.500 0.255 0.259
Ni5 0.500 0.500 0.000

[2]
# InTc2Cl (PBE, optimized geometry)
# Crystal system: trigonal
# Uncorrected formation energy in meV/atom: 539
# ΔE to the lowest computed polymorph in eV/atom: 0.562
data_InTc2Cl
_chemical_formula_sum 'In3 Tc6 Cl3'
_cell_length_a 2.9763
_cell_length_b 2.9763
_cell_length_c 25.6564
_cell_angle_alpha 90.00
_cell_angle_beta 90.00
_cell_angle_gamma 120.00
_space_group_name_H-M_alt 'R -3 m'
_space_group_IT_number 166
_space_group_name_Hall '-R 3 2"'
loop_
_atom_site_label
_atom_site_fract_x
_atom_site_fract_y
_atom_site_fract_z
In1 0.0000 0.0000 0.0000
Tc1 0.0000 0.0000 0.2440
Cl1 0.0000 0.0000 0.5000

[3]
# Pu6UPt5 (PBE, optimized geometry)
# Crystal system: orthorhombic
# Formation energy in eV/atom: -0.56
data_Pu6UPt5
_chemical_formula_sum 'Pu12 U2 Pt10'
_cell_length_a 4.916
_cell_length_b 6.816
_cell_length_c 15.320
_cell_angle_alpha 90.00
_cell_angle_beta 90.00
_cell_angle_gamma 90.00
_space_group_name_H-M_alt 'I m m m'
_space_group_IT_number 71
_space_group_name_Hall '-I 2 2'
loop_
_atom_site_label
_atom_site_fract_x
_atom_site_fract_y
_atom_site_fract_z
Pu1 0.000 0.238 0.000
Pu2 0.000 0.258 0.330
U1 0.000 0.000 0.500
Pt1 0.000 0.000 0.171
Pt2 0.000 0.500 0.155
Pt3 0.000 0.500 0.500

[4]
# Ca4SnRu (PBE, optimized geometry)
# Crystal system: monoclinic
# Formation energy in eV/atom: -0.26
data_Ca4SnRu
_chemical_formula_sum 'Ca16 Sn4 Ru4'
_cell_length_a 9.204
_cell_length_b 14.429
_cell_length_c 5.593
_cell_angle_alpha 90.00
_cell_angle_beta 109.31
_cell_angle_gamma 90.00
_space_group_name_H-M_alt 'C 1 2/c 1'
_space_group_IT_number 15
loop_
_space_group_symop_operation_xyz
'x,y,z'
'-x,-y,-z'
'-x,y,-z+1/2'
'x,-y,z+1/2'
'x+1/2,y+1/2,z'
'-x+1/2,-y+1/2,-z'
'-x+1/2,y+1/2,-z+1/2'
'x+1/2,-y+1/2,z+1/2'
loop_
_atom_site_label
_atom_site_fract_x
_atom_site_fract_y
_atom_site_fract_z
Ca1 0.119 0.170 0.065
Ca2 0.204 0.432 0.346
Sn1 0.000 0.365 0.750
Ru1 0.000 0.001 0.250

[5]
# ReBiAs2Se (PBE, optimized geometry)
# Crystal system: tetragonal
# Uncorrected formation energy in meV/atom: 489
# ΔE to the lowest computed polymorph in eV/atom: 0.000
data_ReBiAs2Se
_chemical_formula_sum 'Re1 Bi1 As2 Se1'
_cell_length_a 4.706
_cell_length_b 4.706
_cell_length_c 5.578
_cell_angle_alpha 90.00
_cell_angle_beta 90.00
_cell_angle_gamma 90.00
_space_group_name_H-M_alt 'P 4/m m m'
_space_group_IT_number 123
_space_group_name_Hall '-P 4 2'
loop_
_atom_site_label
_atom_site_fract_x
_atom_site_fract_y
_atom_site_fract_z
Re1 0.000 0.000 0.000
Bi1 0.500 0.500 0.500
As1 0.000 0.500 0.000
Se1 0.000 0.000 0.500

[6]
# CdFe2Si2 (PBE, optimized geometry)
# Crystal system: tetragonal
# Uncorrected formation energy in meV/atom: -82
data_CdFe2Si2
_chemical_formula_sum 'Cd2 Fe4 Si4'
_cell_length_a 6.858
_cell_length_b 6.858
_cell_length_c 2.746
_cell_angle_alpha 90.00
_cell_angle_beta 90.00
_cell_angle_gamma 90.00
_space_group_name_H-M_alt 'P 4/m b m'
_space_group_IT_number 127
_space_group_name_Hall '-P 4 2ab'
loop_
_atom_site_label
_atom_site_fract_x
_atom_site_fract_y
_atom_site_fract_z
Cd1 0.000 0.000 0.000
Fe1 0.145 0.355 0.000
Si1 0.144 0.644 0.500

[7]
# SiPBr2 (PBE, optimized geometry)
# Crystal system: tetragonal
# Uncorrected formation energy in meV/atom: 756
# ΔE to the lowest computed polymorph in eV/atom: 0.939
data_SiPBr2
_chemical_formula_sum 'Si1 P1 Br2'
_cell_length_a 3.320
_cell_length_b 3.320
_cell_length_c 9.792
_cell_angle_alpha 90.00
_cell_angle_beta 90.00
_cell_angle_gamma 90.00
_space_group_name_H-M_alt 'P 4/m m m'
_space_group_IT_number 123
_space_group_name_Hall '-P 4 2'
loop_
_atom_site_label
_atom_site_fract_x
_atom_site_fract_y
_atom_site_fract_z
Si1 0.000 0.000 0.000
P1 0.000 0.000 0.500
Br1 0.500 0.500 0.174

[8]
# ScTl2Pb (PBE, optimized geometry)
# Crystal system: trigonal
# Formation energy in eV/atom: 0.05
data_ScTl2Pb
_chemical_formula_sum 'Sc3 Tl6 Pb3'
_cell_length_a 4.9052
_cell_length_b 4.9052
_cell_length_c 16.9949
_cell_angle_alpha 90.00
_cell_angle_beta 90.00
_cell_angle_gamma 120.00
_space_group_name_H-M_alt 'R 3 m'
_space_group_IT_number 160
_space_group_name_Hall 'R 3 -2"'
loop_
_atom_site_label
_atom_site_fract_x
_atom_site_fract_y
_atom_site_fract_z
Sc1 0.0000 0.0000 0.0000
Tl1 0.0000 0.0000 0.3839
Tl2 0.0000 0.0000 0.5894
Pb1 0.0000 0.0000 0.8129

[9]
# CeHfCoRu (PBE, optimized geometry)
# Crystal system: cubic
# Formation energy in eV/atom: -0.26
data_CeHfCoRu
_chemical_formula_sum 'Ce4 Hf4 Co4 Ru4'
_cell_length_a 6.615
_cell_length_b 6.615
_cell_length_c 6.615
_cell_angle_alpha 90.00
_cell_angle_beta 90.00
_cell_angle_gamma 90.00
_space_group_name_H-M_alt 'F -4 3 m'
_space_group_IT_number 216
_space_group_name_Hall 'F -4 2 3'
loop_
_atom_site_label
_atom_site_fract_x
_atom_site_fract_y
_atom_site_fract_z
Ce1 0.000 0.000 0.000
Hf1 0.000 0.000 0.500
Co1 0.250 0.250 0.750
Ru1 0.250 0.250 0.250

[10]
# MgTiP2Cl (PBE, optimized geometry)
# Crystal system: tetragonal
# Uncorrected formation energy in meV/atom: -282
# ΔE to the lowest computed polymorph in eV/atom: 0.000
data_MgTiP2Cl
_chemical_formula_sum 'Mg1 Ti1 P2 Cl1'
_cell_length_a 4.765
_cell_length_b 4.765
_cell_length_c 4.763
_cell_angle_alpha 90.00
_cell_angle_beta 90.00
_cell_angle_gamma 90.00
_space_group_name_H-M_alt 'P 4/m m m'
_space_group_IT_number 123
_space_group_name_Hall '-P 4 2'
loop_
_atom_site_label
_atom_site_fract_x
_atom_site_fract_y
_atom_site_fract_z
Mg1 0.000 0.000 0.000
Ti1 0.500 0.500 0.500
P1 0.000 0.500 0.500
Cl1 0.500 0.500 0.000

[11]
# Rb2Ca2Bi (PBE, optimized geometry)
# Crystal system: tetragonal
# Formation energy in eV/atom: -0.17
data_Rb2Ca2Bi
_chemical_formula_sum 'Rb4 Ca4 Bi2'
_cell_length_a 8.508
_cell_length_b 8.508
_cell_length_c 7.163
_cell_angle_alpha 90.00
_cell_angle_beta 90.00
_cell_angle_gamma 90.00
_space_group_name_H-M_alt 'P 4/m b m'
_space_group_IT_number 127
_space_group_name_Hall '-P 4 2ab'
loop_
_atom_site_label
_atom_site_fract_x
_atom_site_fract_y
_atom_site_fract_z
Rb1 0.181 0.319 0.000
Ca1 0.161 0.661 0.500
Bi1 0.000 0.000 0.500

[12]
# NaZnSi2N (PBE, optimized geometry)
# Crystal system: tetragonal
# Uncorrected formation energy in meV/atom: 1835
data_NaZnSi2N
_chemical_formula_sum 'Na1 Zn1 Si2 N1'
_cell_length_a 4.953
_cell_length_b 4.953
_cell_length_c 4.081
_cell_angle_alpha 90.00
_cell_angle_beta 90.00
_cell_angle_gamma 90.00
_space_group_name_H-M_alt 'P 4/m m m'
_space_group_IT_number 123
_space_group_name_Hall '-P 4 2'
loop_
_atom_site_label
_atom_site_fract_x
_atom_site_fract_y
_atom_site_fract_z
Na1 0.000 0.000 0.000
Zn1 0.500 0.500 0.500
Si1 0.000 0.500 0.000
N1 0.000 0.000 0.500

no.,D(E_F) (states/eV/f.u.)
1,15.08
2,4.33
3,40.17
4,3.61
5,4.28
6,3.75
7,0.57
8,3.43
9,5.60
10,2.44
11,4.39
12,2.58